This record from Alexandria via LeMat-Bulk describes a relaxed KLaAs2Br crystal. The functional is PBE-GGA.

```
data_KLaAs2Br
_chemical_formula_sum 'K1 La1 As2 Br1'
_cell_length_a 5.349
_cell_length_b 5.349
_cell_length_c 5.518
_cell_angle_alpha 90.00
_cell_angle_beta 90.00
_cell_angle_gamma 90.00
_space_group_name_H-M_alt 'P 1'
_space_group_IT_number 1
loop_
_space_group_symop_operation_xyz
'x,y,z'
loop_
_atom_site_label
_atom_site_fract_x
_atom_site_fract_y
_atom_site_fract_z
K1 0.000 0.000 0.000
Br1 0.000 0.000 0.500
As1 0.500 0.000 0.000
La1 0.500 0.500 0.500
As2 0.000 0.500 0.000
```

Properties
- Excess energy over the best structure of this formula in the dataset: 3.43 eV/f.u.
- Space-group type: No. 123
- E_form (uncorrected): 117.5 meV/atom


This record from Alexandria via LeMat-Bulk describes a relaxed Pu2Cu5Ge3 crystal. The functional is PBE-GGA.

```
data_Pu2Cu5Ge3
_chemical_formula_sum 'Pu2 Cu5 Ge3'
_cell_length_a 4.118
_cell_length_b 4.118
_cell_length_c 10.348
_cell_angle_alpha 90.00
_cell_angle_beta 90.00
_cell_angle_gamma 90.00
_space_group_name_H-M_alt 'P 1'
_space_group_IT_number 1
loop_
_space_group_symop_operation_xyz
'x,y,z'
loop_
_atom_site_label
_atom_site_fract_x
_atom_site_fract_y
_atom_site_fract_z
Cu1 0.500 0.000 0.879
Cu2 0.000 0.500 0.121
Pu1 0.500 0.000 0.236
Ge1 0.000 0.500 0.349
Cu3 0.500 0.500 0.000
Cu4 0.000 0.000 0.000
Ge2 0.500 0.000 0.651
Cu5 0.500 0.500 0.500
Pu2 0.000 0.500 0.764
Ge3 0.000 0.000 0.500
```

Properties
- E_form: -0.062 eV per atom
- Space-group type: No. 115